Material: Cd2CuPt
Method: DFT, PBE
State: relaxed

Cell: 2.9713 3.8829 5.9378 Å, 90.00 90.57 90.00°
Closest atoms and distances in Å follow each position.
Space group P2/m (No. 10)
One atom of each set of equivalent atoms:
Cd: 0.0009 0.0000 0.2552  4 Cu 2.84-2.85, 4 Pt 2.87-2.88, 4 Cd 2.91-3.03
Cu: 0.5000 0.5000 0.5000  8 Cd 2.84-2.85, 2 Pt 2.97, 2 Cu 2.97
Pt: 0.5000 0.5000 0.0000  8 Cd 2.87-2.88, 2 Cu 2.97, 2 Pt 2.97

Properties
total energy: -12.47 eV/cell
total moment: 0.000 μB per atom